Ca2LaTm | PBE | relaxed

The structure in POSCAR format:
```
Ca2LaTm
1.0
3.6982 0.0000 0.0000
-1.8491 3.2028 0.0000
0.0000 0.0000 37.2136
Ca La Tm
6 3 3
Direct
0.0000 0.0000 0.0000 Ca
0.0000 0.0000 0.1609 Ca
0.3333 0.6667 0.6667 Ca
0.3333 0.6667 0.8276 Ca
0.6667 0.3333 0.3333 Ca
0.6667 0.3333 0.4943 Ca
0.0000 0.0000 0.5805 La
0.3333 0.6667 0.2471 La
0.6667 0.3333 0.9138 La
0.0000 0.0000 0.4141 Tm
0.3333 0.6667 0.0808 Tm
0.6667 0.3333 0.7474 Tm
```

Computed properties:
- Magnetization: 2.2 Bohr magnetons per cell
- ΔH_f (0 K): 0.113 eV per atom
- Relative energy among the computed polymorphs: 0.000 eV/atom
- Crystal system: trigonal
- Space group: No. 160